Record 1
The following is a DFT calculation (PBE) of a relaxed Sr3Ge2Pd5 crystal.

abc: 6.2166 9.2200 9.2200
angles: 74.39 70.30 70.30
Fractional positions:
Sr (0.2500, 0.0000, 0.0000)
Sr (0.7500, 0.0000, 0.0000)
Sr (0.3849, 0.4105, 0.8198)
Sr (0.6151, 0.5895, 0.1802)
Sr (0.8849, 0.8198, 0.4105)
Sr (0.1151, 0.1802, 0.5895)
Ge (0.1503, 0.6907, 0.0087)
Ge (0.8497, 0.3093, 0.9913)
Ge (0.6503, 0.0087, 0.6907)
Ge (0.3497, 0.9913, 0.3093)
Pd (0.2500, 0.5000, 0.5000)
Pd (0.7500, 0.5000, 0.5000)
Pd (0.4745, 0.7755, 0.7755)
Pd (0.0255, 0.2245, 0.2245)
Pd (0.5255, 0.2245, 0.2245)
Pd (0.9745, 0.7755, 0.7755)
Pd (0.1378, 0.4891, 0.2353)
Pd (0.8622, 0.5109, 0.7647)
Pd (0.6378, 0.2353, 0.4891)
Pd (0.3622, 0.7647, 0.5109)

Results
density: 6771 kg/m3
calculated formation energy: -0.40 eV per atom
V: 461.1 Å³/cell

***

Record 2
The following is a DFT calculation (PBE) of a relaxed Sr2Ge3Pd9 crystal.

abc: 7.8923 7.8923 10.3530
angles: 90.11 111.41 121.24
Fractional positions:
Sr (0.3380, 0.2411, 0.7530)
Sr (0.6620, 0.7589, 0.2470)
Sr (0.9881, 0.5850, 0.7470)
Sr (0.0119, 0.4150, 0.2530)
Ge (0.5000, 0.0000, 0.0000)
Ge (0.5000, 0.5000, 0.5000)
Ge (0.8401, 0.1689, 0.4989)
Ge (0.1599, 0.8311, 0.5011)
Ge (0.1701, 0.3412, 0.0011)
Ge (0.8299, 0.6588, 0.9989)
Pd (0.4602, 0.9195, 0.7471)
Pd (0.5398, 0.0805, 0.2529)
Pd (0.6724, 0.7131, 0.7529)
Pd (0.3276, 0.2869, 0.2471)
Pd (0.4345, 0.6296, 0.9207)
Pd (0.5655, 0.3704, 0.0793)
Pd (0.2090, 0.5139, 0.5793)
Pd (0.7910, 0.4861, 0.4207)
Pd (0.8803, 0.1303, 0.7500)
Pd (0.1197, 0.8697, 0.2500)
Pd (0.1566, 0.9963, 0.9733)
Pd (0.8434, 0.0037, 0.0267)
Pd (0.5230, 0.1834, 0.5267)
Pd (0.4770, 0.8166, 0.4733)
Pd (0.8822, 0.8569, 0.5681)
Pd (0.1178, 0.1431, 0.4319)
Pd (0.7888, 0.3142, 0.9319)
Pd (0.2112, 0.6858, 0.0681)

Results
density: 9004 kg/m3
calculated formation energy: -0.60 eV per atom
V: 498.3 Å³/cell

***

Record 3
The following is a DFT calculation (PBE) of a relaxed SrGePd3 crystal.

abc: 4.7865 4.7865 4.7865
angles: 90.00 90.00 90.00
Fractional positions:
Sr (0.5000, 0.5000, 0.5000)
Ge (0.0000, 0.0000, 0.0000)
Pd (0.0000, 0.5000, 0.0000)
Pd (0.0000, 0.0000, 0.5000)
Pd (0.5000, 0.0000, 0.0000)

Results
density: 7261 kg/m3
calculated formation energy: -0.46 eV per atom
V: 109.7 Å³/cell

***

Record 4
The following is a DFT calculation (PBE) of a relaxed Sr8Ge2Pd crystal.

abc: 5.4046 7.5283 10.6360
angles: 102.64 104.72 90.00
Fractional positions:
Sr (0.4104, 0.5795, 0.8209)
Sr (0.6629, 0.9592, 0.3259)
Sr (0.7864, 0.6777, 0.5728)
Sr (0.9597, 0.1951, 0.9194)
Sr (0.2136, 0.3223, 0.4272)
Sr (0.3371, 0.0408, 0.6741)
Sr (0.5896, 0.4205, 0.1791)
Sr (0.0403, 0.8049, 0.0806)
Ge (0.8051, 0.2692, 0.6102)
Ge (0.1949, 0.7308, 0.3898)
Pd (0.5000, 0.0000, 0.0000)

Results
density: 3880 kg/m3
calculated formation energy: -0.34 eV per atom
V: 407.7 Å³/cell

***

Record 5
The following is a DFT calculation (PBE) of a relaxed Sr3Ge4Pd2 crystal.

abc: 4.4368 6.8677 8.4743
angles: 108.84 105.18 90.00
Fractional positions:
Sr (0.8501, 0.4124, 0.7001)
Sr (0.1499, 0.5876, 0.2999)
Sr (0.0000, 0.0000, 0.0000)
Ge (0.4958, 0.3229, 0.9916)
Ge (0.7883, 0.8769, 0.5765)
Ge (0.5042, 0.6771, 0.0084)
Ge (0.2117, 0.1231, 0.4235)
Pd (0.3507, 0.0345, 0.7015)
Pd (0.6493, 0.9655, 0.2985)

Results
density: 5418 kg/m3
calculated formation energy: -0.55 eV per atom
V: 234.8 Å³/cell

***

Record 6
The following is a DFT calculation (PBE) of a relaxed Sr2Ge3Pd2 crystal.

abc: 4.2936 6.0558 7.3881
angles: 117.57 90.00 110.76
Fractional positions:
Sr (0.8579, 0.7158, 0.2353)
Sr (0.1421, 0.2842, 0.7647)
Ge (0.5000, 0.0000, 0.0000)
Ge (0.6377, 0.2754, 0.4406)
Ge (0.3623, 0.7246, 0.5594)
Pd (0.8747, 0.7495, 0.7839)
Pd (0.1253, 0.2505, 0.2161)

Results
density: 6448 kg/m3
calculated formation energy: -0.57 eV per atom
V: 156.1 Å³/cell

***

Record 7
The following is a DFT calculation (PBE) of a relaxed SrGe12Pd4 crystal.

abc: 7.5850 7.5850 7.5850
angles: 109.47 109.47 109.47
Fractional positions:
Sr (0.0000, 0.0000, 0.0000)
Ge (0.8486, 0.3556, 0.2041)
Ge (0.3556, 0.5070, 0.1514)
Ge (0.7959, 0.1514, 0.6444)
Ge (0.3556, 0.2041, 0.8486)
Ge (0.2041, 0.8486, 0.3556)
Ge (0.6444, 0.4930, 0.8486)
Ge (0.5070, 0.1514, 0.3556)
Ge (0.4930, 0.8486, 0.6444)
Ge (0.6444, 0.7959, 0.1514)
Ge (0.8486, 0.6444, 0.4930)
Ge (0.1514, 0.3556, 0.5070)
Ge (0.1514, 0.6444, 0.7959)
Pd (0.0000, 0.5000, 0.0000)
Pd (0.5000, 0.0000, 0.0000)
Pd (0.5000, 0.5000, 0.5000)
Pd (0.0000, 0.0000, 0.5000)

Results
density: 6846 kg/m3
calculated formation energy: -0.25 eV per atom
V: 335.9 Å³/cell

***

Record 8
The following is a DFT calculation (PBE) of a relaxed SrGe2Pd crystal.

abc: 4.5511 4.8067 4.8067
angles: 94.74 90.00 90.00
Fractional positions:
Sr (0.0000, 0.0153, 0.9847)
Ge (0.5000, 0.8755, 0.4860)
Ge (0.5000, 0.5140, 0.1245)
Pd (0.5000, 0.3751, 0.6249)

Results
density: 5377 kg/m3
calculated formation energy: -0.42 eV per atom
V: 104.8 Å³/cell

***

Record 9
The following is a DFT calculation (PBE) of a relaxed SrGe2Pd crystal.

abc: 4.9068 4.9068 9.3153
angles: 74.73 74.73 90.00
Fractional positions:
Sr (0.5000, 0.5000, 0.0000)
Sr (0.2500, 0.7500, 0.5000)
Ge (0.8187, 0.1250, 0.2500)
Ge (0.9313, 0.6250, 0.2500)
Ge (0.3750, 0.1813, 0.7500)
Ge (0.8750, 0.0687, 0.7500)
Pd (0.0000, 0.0000, 0.0000)
Pd (0.7500, 0.2500, 0.5000)

Results
density: 5414 kg/m3
calculated formation energy: -0.42 eV per atom
V: 208.1 Å³/cell

***

Record 10
The following is a DFT calculation (PBE) of a relaxed SrGe3Pd5 crystal.

abc: 3.9947 6.8432 12.9638
angles: 90.00 90.00 106.97
Fractional positions:
Sr (0.8443, 0.6886, 0.7500)
Sr (0.1557, 0.3114, 0.2500)
Ge (0.3821, 0.7642, 0.9598)
Ge (0.8875, 0.7749, 0.2500)
Ge (0.3821, 0.7642, 0.5402)
Ge (0.6179, 0.2358, 0.4598)
Ge (0.1125, 0.2251, 0.7500)
Ge (0.6179, 0.2358, 0.0402)
Pd (0.7996, 0.5991, 0.4291)
Pd (0.2004, 0.4009, 0.9291)
Pd (0.0000, 0.0000, 0.5000)
Pd (0.0000, 0.0000, 0.0000)
Pd (0.4479, 0.8957, 0.1442)
Pd (0.5521, 0.1043, 0.8558)
Pd (0.5521, 0.1043, 0.6442)
Pd (0.7996, 0.5991, 0.0709)
Pd (0.2004, 0.4009, 0.5709)
Pd (0.4479, 0.8957, 0.3558)

Results
density: 8207 kg/m3
calculated formation energy: -0.62 eV per atom
V: 339.0 Å³/cell

***

Record 11
The following is a DFT calculation (PBE) of a relaxed SrGe2Pd6 crystal.

abc: 5.7628 5.7628 6.3726
angles: 90.00 90.00 120.00
Fractional positions:
Sr (0.0000, 0.0000, 0.0000)
Ge (0.3333, 0.6667, 0.5000)
Ge (0.6667, 0.3333, 0.5000)
Pd (0.4999, 0.0000, 0.2148)
Pd (0.5001, 0.5001, 0.2148)
Pd (0.0000, 0.4999, 0.2148)
Pd (0.4999, 0.4999, 0.7852)
Pd (0.0000, 0.5001, 0.7852)
Pd (0.5001, 0.0000, 0.7852)

Results
density: 7895 kg/m3
calculated formation energy: -0.43 eV per atom
V: 183.3 Å³/cell

***

Record 12
The following is a DFT calculation (PBE) of a relaxed SrGePd6 crystal.

abc: 6.4816 6.4816 5.8021
angles: 56.04 56.04 60.00
Fractional positions:
Sr (0.5000, 0.5000, 0.5000)
Ge (0.0000, 0.0000, 0.0000)
Pd (0.8753, 0.8753, 0.7875)
Pd (0.4619, 0.8753, 0.7875)
Pd (0.1247, 0.5381, 0.2125)
Pd (0.5381, 0.1247, 0.2125)
Pd (0.1247, 0.1247, 0.2125)
Pd (0.8753, 0.4619, 0.7875)

Results
density: 8222 kg/m3
calculated formation energy: -0.23 eV per atom
V: 161.3 Å³/cell